# Ba2NdMoO6 (PBEsol, optimized geometry)
data_Ba2NdMoO6
_symmetry_space_group_name_H-M 'F m -3 m'
_symmetry_Int_Tables_number 225
_symmetry_space_group_name_Hall '-F 4 2 3'
_cell_length_a 8.512
_cell_length_b 8.512
_cell_length_c 8.512
_cell_angle_alpha 90.00
_cell_angle_beta 90.00
_cell_angle_gamma 90.00
loop_
_atom_site_label
_atom_site_type_symbol
_atom_site_fract_x
_atom_site_fract_y
_atom_site_fract_z
_atom_site_occupancy
Ba1 Ba 0.250 0.250 0.250 1
Nd1 Nd 0.000 0.000 0.000 1
Mo1 Mo 0.000 0.000 0.500 1
O1 O 0.000 0.000 0.271 1
# - spin magnetization (μB per cell) = 0.0
# - calculated volume (A^3/atom) = 15.416
# - E_form (uncorrected) (eV/f.u.) = -27.5
# - calculated density (Mg/m³) = 6.6
# - calculated total energy (eV/atom) = -8.024